# 1
A plane-wave DFT calculation with PBE was carried out for a geometry-optimized TbSm2PuSe4 structure.

abc: 7.1846 4.1264 7.1935
angles: 90.00 109.18 90.00
With the nearest neighbours (Å) after each atom.
Space group P2/m (No. 10)
Inequivalent atoms, fractional coordinates:
1 Tb 0.0000 0.0000 0.0000 (multiplicity 1)  6 Se 2.90-2.91
2 Sm 0.0000 0.5000 0.5000 (multiplicity 1)  6 Se 2.94
3 Sm 0.5000 0.0000 0.5000 (multiplicity 1)  6 Se 2.96
4 Pu 0.5000 0.5000 0.0000 (multiplicity 1)  6 Se 2.92
5 Se 0.2466 0.5000 0.2444 (multiplicity 2)  2 Tb 2.91, 1 Pu 2.92, 3 Sm 2.94-2.96
6 Se 0.2500 0.0000 0.7544 (multiplicity 2)  1 Tb 2.90, 2 Pu 2.92, 3 Sm 2.94-2.96

Properties
* formation energy without anion corrections: -1.754 eV/atom
* E: -7.05 eV per atom
* total magnetic moment: 0.73 μB per atom

# 2
A plane-wave DFT calculation with PBE was carried out for a geometry-optimized TbTm2Cu9 structure.

abc: 5.1384 5.1384 24.8009
angles: 90.00 90.00 120.00
With the nearest neighbours (Å) after each atom.
Space group R-3m (No. 166, hexagonal axes)
Inequivalent atoms, fractional coordinates:
1 Tb 0.0000 0.0000 0.0000 (multiplicity 3)  18 Cu 2.97-3.29
2 Tm 0.0000 0.0000 0.1415 (multiplicity 6)  12 Cu 2.95-3.09, 3 Tm 3.22
3 Cu 0.0000 0.0000 0.3325 (multiplicity 6)  6 Cu 2.51-2.55
4 Cu 0.0000 0.0000 0.5000 (multiplicity 3)  6 Cu 2.56
5 Cu 0.0006 0.5003 0.9173 (multiplicity 18)  7 Cu 2.51-2.57

Properties
* E: -4.42 eV per atom
* total magnetic moment: 0.00 μB per atom

# 3
A plane-wave DFT calculation with PBE was carried out for a geometry-optimized MgIn2Ag4 structure.

abc: 14.9602 3.0316 7.0605
angles: 90.00 115.54 90.00
With the nearest neighbours (Å) after each atom.
Space group C2/m (No. 12)
Inequivalent atoms, fractional coordinates:
1 Mg 0.0000 0.0000 0.0000 (multiplicity 2)  6 Ag 2.80-2.83, 2 Mg 3.03, 2 In 3.06
2 In 0.2269 0.0000 0.2006 (multiplicity 4)  6 Ag 3.00-3.12, 2 In 3.03, 1 Mg 3.06
3 Ag 0.0874 0.0000 0.7201 (multiplicity 4)  1 Mg 2.80, 7 Ag 2.95-3.08, 3 In 3.00-3.12
4 Ag 0.0978 0.5000 0.3724 (multiplicity 4)  2 Mg 2.83, 6 Ag 2.95-3.03, 3 In 3.02-3.09

Properties
* energy relative to the lowest polymorph listed for this composition: 41.3 meV per atom
* E: -2.64 eV per atom
* total magnetic moment: 0.00 μB per atom

# 4
A plane-wave DFT calculation with PBE was carried out for a geometry-optimized RbAcAs2 structure.

abc: 5.2464 5.2464 4.3203
angles: 90.00 90.00 90.00
With the nearest neighbours (Å) after each atom.
Space group P4/mmm (No. 123)
Inequivalent atoms, fractional coordinates:
1 Rb 0.0000 0.0000 0.0000 (multiplicity 1)  8 As 3.40, 4 Ac 3.71
2 Ac 0.5000 0.5000 0.0000 (multiplicity 1)  8 As 3.40, 4 Rb 3.71
3 As 0.0000 0.5000 0.5000 (multiplicity 2)  4 Ac 3.40, 4 Rb 3.40, 4 As 3.71

Properties
* energy relative to the lowest polymorph listed for this composition: 295.6 meV per atom
* E: -4.12 eV per atom
* total magnetic moment: 0.00 μB per atom